Entry 1:
An optimized crystal structure of PmTlNiAu. Source: Alexandria via LeMat-Bulk, functional GGA-PBE.

Properties
crystal system = cubic

Lattice parameters (Å, degrees): 4.9248 4.9248 4.9248 60.00 60.00 60.00
Last column: nearest neighbours and their distance in Å.
Atoms (fractional coordinates):
Ni 0.2500 0.2500 0.2500  4 Tl 3.02, 4 Pm 3.02
Tl 0.0000 0.0000 0.0000  4 Au 3.02, 4 Ni 3.02
Au 0.7500 0.7500 0.7500  4 Pm 3.02, 4 Tl 3.02
Pm 0.5000 0.5000 0.5000  4 Ni 3.02, 4 Au 3.02

Entry 2:
An optimized crystal structure of PmTmNiAu. Source: Alexandria via LeMat-Bulk, functional GGA-PBE.

Properties
relative energy among the computed polymorphs = 0.000 eV/atom
crystal system = orthorhombic

Lattice parameters (Å, degrees): 3.8083 4.6056 5.5206 90.00 110.18 90.00
Last column: nearest neighbours and their distance in Å.
Atoms (fractional coordinates):
Pm 0.1436 0.0000 0.2873  3 Ni 2.85-3.01, 4 Au 3.07
Tm 0.8624 0.5000 0.7248  3 Au 2.92-2.97, 4 Ni 3.04
Ni 0.4182 0.0000 0.8364  2 Au 2.82, 3 Pm 2.85-3.01, 4 Tm 3.04
Au 0.5758 0.5000 0.1515  2 Ni 2.82, 3 Tm 2.92-2.97, 4 Pm 3.07

Entry 3:
An optimized crystal structure of PmTmNiAu. Source: Alexandria via LeMat-Bulk, functional GGA-PBE.

Properties
relative energy among the computed polymorphs = 0.052 eV/atom
crystal system = cubic

Lattice parameters (Å, degrees): 4.9939 4.9939 4.9939 60.00 60.00 60.00
Last column: nearest neighbours and their distance in Å.
Atoms (fractional coordinates):
Ni 0.7500 0.7500 0.7500  4 Pm 3.06, 4 Tm 3.06
Tm 0.5000 0.5000 0.5000  4 Ni 3.06, 4 Au 3.06
Au 0.2500 0.2500 0.2500  4 Pm 3.06, 4 Tm 3.06
Pm 0.0000 0.0000 0.0000  4 Au 3.06, 4 Ni 3.06

Entry 4:
An optimized crystal structure of PmZn2NiAu4. Source: Alexandria via LeMat-Bulk, functional GGA-PBE.

Properties
crystal system = trigonal

Lattice parameters (Å, degrees): 4.4299 4.4299 9.0995 75.91 75.91 60.00
Last column: nearest neighbours and their distance in Å.
Atoms (fractional coordinates):
Pm 0.0000 0.0000 0.0000  8 Au 3.08-3.45
Zn 0.7635 0.7635 0.7096  7 Au 2.68-2.75
Zn 0.2365 0.2365 0.2904  7 Au 2.68-2.75
Ni 0.5000 0.5000 0.5000  8 Au 2.65-2.72
Au 0.3990 0.3990 0.8030  1 Ni 2.65, 3 Zn 2.68
Au 0.8683 0.8683 0.3951  4 Zn 2.72-2.75, 3 Ni 2.72
Au 0.1317 0.1317 0.6049  4 Zn 2.72-2.75, 3 Ni 2.72
Au 0.6010 0.6010 0.1970  1 Ni 2.65, 3 Zn 2.68

These records have size of the total moment values of 0.00, 0.00, 0.00, 0.00 μB/cell, in the order they appear.
These records have total DFT energy (no corrections) values of -4.325, -5.175, -5.123, -3.620 eV per atom, in the order they appear.
These records have DFT formation energy values of -0.2806, -0.6051, -0.5529, -0.3461 eV per atom, in the order they appear.